# BaMo3O

Crystalline BaMo3O at its relaxed geometry (PBE+U, the Alexandria database).

Calculated values
relative energy among the computed polymorphs = 0.0 meV per atom
density of states at the Fermi level = 2.99 states/eV/cell
electronic total energy = -4.71 eV per atom

a = 4.988 Å, b = 4.988 Å, c = 4.988 Å
α = 90.00°, β = 90.00°, γ = 90.00°
Site moments in Bohr magnetons follow the coordinates.
Atoms (fractional coordinates):
Mo1 0.000 0.500 0.000  3.77
Mo2 0.000 0.000 0.500  3.73
Mo3 0.500 0.000 0.000  3.54
Ba1 0.500 0.500 0.500  0.02
O1 0.000 0.000 0.000  -0.08